Compound: Sm4SnH
Source: Alexandria
Functional: GGA-PBE
Structure: optimized geometry

Structure (POSCAR):
```
Sm4SnH
1.0
2.551 -8.694 0.000
2.551 8.694 0.000
0.000 0.000 6.861
Sm Sn H
8 2 2
Cartesian
0.000 0.000 0.000
0.000 0.000 3.431
2.551 5.331 3.520
2.551 5.331 6.772
2.551 1.808 5.146
2.551 -1.808 1.715
2.551 -5.331 0.090
2.551 -5.331 3.341
2.551 1.740 1.715
2.551 -1.740 5.146
2.551 7.017 1.715
2.551 -7.017 5.146
```

DOS at the Fermi energy in states/eV/cell: 10.47
Space group: No. 63
Calculated total energy in Ry per atom: -0.34496